# 1
# Ta2AgSb

A relaxed Ta2AgSb crystal (GGA-PBE, the Open Quantum Materials Database).

POSCAR file:
```
Ta2AgSb
1.0
0.000 3.372 3.372
3.372 0.000 3.372
3.372 3.372 0.000
Ag Sb Ta
1 1 2
direct
0.250 0.250 0.250 Ag
0.500 0.500 0.500 Sb
0.000 0.000 0.000 Ta
0.750 0.750 0.750 Ta
```

Properties
symmetry	F-43m
electronic total energy	-7.1250	eV/atom
total magnetization	0.002	μB/f.u.


# 2
# CsPrCdS3

A relaxed CsPrCdS3 crystal (GGA-PBE, the Open Quantum Materials Database).

POSCAR file:
```
CsPrCdS3
1.0
11.760 0.000 0.000
0.000 4.438 0.000
0.000 0.000 12.894
Cd Cs Pr S
4 4 4 12
direct
0.239 0.750 0.211 Cd
0.739 0.750 0.289 Cd
0.261 0.250 0.711 Cd
0.761 0.250 0.789 Cd
0.342 0.250 0.001 Cs
0.842 0.250 0.499 Cs
0.158 0.750 0.501 Cs
0.658 0.750 0.999 Cs
0.973 0.250 0.162 Pr
0.473 0.250 0.338 Pr
0.527 0.750 0.662 Pr
0.027 0.750 0.838 Pr
0.100 0.750 0.059 S
0.719 0.250 0.193 S
0.456 0.750 0.194 S
0.956 0.750 0.306 S
0.219 0.250 0.307 S
0.600 0.750 0.441 S
0.400 0.250 0.559 S
0.781 0.750 0.693 S
0.044 0.250 0.694 S
0.544 0.250 0.806 S
0.281 0.750 0.807 S
0.900 0.250 0.941 S
```

Properties
energy above the lowest structure with this stoichiometry	0.35	eV per formula unit
symmetry	Pnma
electronic total energy	-4.5095	eV/atom
total magnetization	0.001	μB/f.u.


# 3
# NbRe2O4

A relaxed NbRe2O4 crystal (GGA-PBE, the Open Quantum Materials Database).

POSCAR file:
```
NbRe2O4
1.0
-4.705 3.634 -1.797
5.177 -0.294 -3.417
-3.849 -4.868 0.231
Nb O Re
2 8 4
direct
0.000 0.000 0.000 Nb
0.750 0.500 0.250 Nb
0.617 0.235 0.382 O
0.147 0.765 0.382 O
0.618 0.765 0.383 O
0.132 0.265 0.397 O
0.618 0.235 0.853 O
0.132 0.735 0.867 O
0.133 0.265 0.868 O
0.603 0.735 0.868 O
0.375 0.750 0.125 Re
0.375 0.750 0.625 Re
0.375 0.250 0.625 Re
0.875 0.250 0.625 Re
```

Properties
symmetry	Fd-3m
electronic total energy	-8.3735	eV/atom
total magnetization	1.182	μB/f.u.